#a
## LiMg6Al (PBE)

Data for a relaxed structure of LiMg6Al.

Cell and atoms, written as CIF:
```
data_LiMg6Al
_cell_length_a 8.129
_cell_length_b 6.169
_cell_length_c 7.986
_cell_angle_alpha 90.00
_cell_angle_beta 106.60
_cell_angle_gamma 90.00
_space_group_name_H-M_alt 'C 1 2/m 1'
_space_group_IT_number 12
_space_group_name_Hall '-C 2y'
loop_
_atom_site_label
_atom_site_fract_x
_atom_site_fract_y
_atom_site_fract_z
Li1 0.000 0.000 0.000
Mg1 0.145 0.500 0.931
Mg2 0.189 0.252 0.303
Al1 0.000 0.500 0.500
```


#b
## LiMg6Al (PBE)

Data for a relaxed structure of LiMg6Al.

Cell and atoms, written as CIF:
```
data_LiMg6Al
_cell_length_a 5.101
_cell_length_b 6.239
_cell_length_c 10.739
_cell_angle_alpha 90.00
_cell_angle_beta 90.00
_cell_angle_gamma 90.00
_space_group_name_H-M_alt 'A m m 2'
_space_group_IT_number 38
_space_group_name_Hall 'A 2 -2'
loop_
_atom_site_label
_atom_site_fract_x
_atom_site_fract_y
_atom_site_fract_z
Li1 0.000 0.000 0.000
Mg1 0.000 0.249 0.751
Mg2 0.500 0.000 0.335
Mg3 0.500 0.000 0.834
Mg4 0.500 0.249 0.581
Al1 0.000 0.000 0.501
```


Which is more stable than every other structure shown? #b is more stable than every other one.